The following is a GGA-PBEsol calculation of an optimized crystal structure of Nb2BSb, from Alexandria via LeMat-Bulk.

extended XYZ file:
```
8
Lattice="-2.7339 2.7339 5.6343 2.7339 -2.7339 5.6343 2.7339 2.7339 -5.6343" Properties=species:S:1:pos:R:3 pbc="T T T"
Nb 4.1008 0.8090 -1.4086
Nb 0.8090 1.3669 1.4086
Nb -1.3669 1.9248 4.2257
Nb 1.9248 1.3669 7.0429
B 0.0000 0.0000 0.0000
B 0.0000 2.7339 2.8172
Sb 2.7339 0.0000 2.8172
Sb 0.0000 0.0000 5.6343
```

- symmetry = No. 122
- spin magnetization (μB per cell) = 0.0
- raw total energy (eV/atom) = -7.692